# 1
KHg2F: relaxed, PBE-GGA.

Properties
**Formation energy from raw total energies**: -0.856 eV per atom
**SG**: Fm-3m (225)

Cell lengths 5.4814, 5.4814, 5.4814 Å; angles 60.00, 60.00, 60.00 degrees
Last column: nearest neighbours and their distance in Å.
Atoms (fractional coordinates):
Hg1 0.2500 0.2500 0.2500  4 F 3.36, 4 K 3.36
Hg2 0.7500 0.7500 0.7500  4 F 3.36, 4 K 3.36
F1 0.0000 0.0000 0.0000  8 Hg 3.36
K1 0.5000 0.5000 0.5000  8 Hg 3.36

# 2
K2HgF6: relaxed, PBE-GGA.

Properties
**Formation energy from raw total energies**: -1.807 eV per atom
**SG**: P2_1/c (14)

Cell lengths 6.1802, 7.3717, 7.9163 Å; angles 90.00, 90.00, 109.93 degrees
Last column: nearest neighbours and their distance in Å.
Atoms (fractional coordinates):
Hg1 0.5000 0.0000 0.5000  6 F 2.12-2.14
Hg2 0.0000 0.5000 0.0000  6 F 2.12-2.14
F1 0.1895 0.7967 0.0355  1 Hg 2.12
F2 0.6895 0.2967 0.4645  1 Hg 2.12
F3 0.1512 0.4260 0.2179  1 Hg 2.12
F4 0.6512 0.9260 0.2821  1 Hg 2.12
F5 0.3488 0.0740 0.7179  1 Hg 2.12
F6 0.3105 0.7033 0.5355  1 Hg 2.12
F7 0.8488 0.5740 0.7821  1 Hg 2.12
F8 0.7805 0.9638 0.6364  1 Hg 2.14
F9 0.7195 0.5362 0.1364  1 Hg 2.14
F10 0.8105 0.2033 0.9645  1 Hg 2.12
F11 0.2195 0.0362 0.3636  1 Hg 2.14
F12 0.2805 0.4638 0.8636  1 Hg 2.14
K1 0.1310 0.3089 0.5561  7 F 2.71-2.84
K2 0.8690 0.6911 0.4439  7 F 2.71-2.84
K3 0.3690 0.1911 0.0561  7 F 2.71-2.84
K4 0.6310 0.8089 0.9439  7 F 2.71-2.84

# 3
KHg2F: relaxed, PBE-GGA.

Properties
**Formation energy from raw total energies**: -1.317 eV per atom
**SG**: P2_1/m (11)

Cell lengths 3.7386, 3.7380, 16.4071 Å; angles 90.00, 89.95, 90.00 degrees
Last column: nearest neighbours and their distance in Å.
Atoms (fractional coordinates):
Hg1 0.2500 0.3365 0.9279  12 Hg 3.54-3.74
Hg2 0.7500 0.8365 0.0721  12 Hg 3.54-3.74
Hg3 0.2494 0.3362 0.2157  1 F 3.35, 8 Hg 3.54-3.74
Hg4 0.7506 0.8362 0.7843  1 F 3.35, 8 Hg 3.54-3.74
K1 0.7506 0.8364 0.4161  5 F 2.64-2.70
K2 0.2494 0.3364 0.5839  5 F 2.64-2.70
F1 0.7494 0.8364 0.5804  5 K 2.64-2.70
F2 0.2506 0.3364 0.4196  5 K 2.64-2.70

# 4
KHg2F6: relaxed, PBE-GGA.

Properties
**Formation energy from raw total energies**: -1.636 eV per atom
**SG**: C2/m (12)

Cell lengths 4.5093, 6.2682, 7.5479 Å; angles 71.65, 72.62, 68.92 degrees
Last column: nearest neighbours and their distance in Å.
Atoms (fractional coordinates):
F1 0.6550 0.3085 0.3815  1 Hg 2.06
F2 0.7025 0.6941 0.9009  2 Hg 2.28
F3 0.2975 0.3059 0.0991  2 Hg 2.28
F4 0.3450 0.6915 0.6185  1 Hg 2.06
F5 0.9886 0.1875 0.8353  1 Hg 2.10
F6 0.0114 0.8125 0.1647  1 Hg 2.10
K1 0.0000 0.5000 0.5000  6 F 2.67-2.74
Hg1 0.1801 0.7505 0.8894  4 F 2.06-2.28
Hg2 0.8199 0.2495 0.1106  4 F 2.06-2.28

no.,theoretical density (Mg/m³)
1,6.549
2,3.847
3,6.652
4,4.982